CaPuPdRu | Alexandria via LeMat-Bulk | PBE | optimized geometry; E = -7.8706 eV/atom; N(E_F) = 1.94 states/eV/atom
1.0
6.8754 0.0000 0.0000
0.0000 6.8754 0.0000
0.0000 0.0000 6.8754
Ca Pu Pd Ru
4 4 4 4
direct
0.0000 0.0000 0.0000
0.0000 0.5000 0.5000
0.5000 0.0000 0.5000
0.5000 0.5000 0.0000
0.0000 0.0000 0.5000
0.0000 0.5000 0.0000
0.5000 0.0000 0.0000
0.5000 0.5000 0.5000
0.2500 0.2500 0.2500
0.2500 0.7500 0.7500
0.7500 0.2500 0.7500
0.7500 0.7500 0.2500
0.2500 0.2500 0.7500
0.2500 0.7500 0.2500
0.7500 0.2500 0.2500
0.7500 0.7500 0.7500